No. 1
A relaxed structure of Li2SiPb. Source: Alexandria via LeMat-Bulk, functional GGA-PBE.

a = 3.038 Å, b = 4.058 Å, c = 6.079 Å
α = 90.00°, β = 90.74°, γ = 90.00°
Sites, in units of the cell vectors:
Li 0.002 0.000 0.288
Li 0.998 0.000 0.712
Si 0.500 0.500 0.500
Pb 0.500 0.500 0.000

## Properties
Space group ... P2/m, No. 10
Formation energy without anion corrections ... -0.071 eV per atom
Energy ... -3.31 eV/atom

=====

No. 2
A relaxed structure of SrAlZnAg2. Source: Alexandria via LeMat-Bulk, functional GGA-PBE.

a = 6.671 Å, b = 6.671 Å, c = 6.671 Å
α = 142.07°, β = 141.79°, γ = 54.93°
Sites, in units of the cell vectors:
Sr 0.000 0.000 0.000
Al 0.251 0.751 0.500
Zn 0.387 0.387 0.000
Ag 0.611 0.611 0.000
Ag 0.762 0.262 0.500

## Properties
Space group ... Imm2, No. 44
ΔE_f ... -1.02 eV/f.u.
Energy ... -2.68 eV/atom

=====

Going through the records in order, we get size of the total moment values of 0.00; 0.00 μB per atom.